# 1
! Nd3Ga4Rh4 | Alexandria via LeMat-Bulk | PBE | relaxed; values from VASP
! ΔH_f (0 K) ... -0.761 eV/atom
&SYSTEM
  ibrav = 0, nat = 11, ntyp = 3
/
ATOMIC_SPECIES
Nd 144.24 Nd.upf
Ga 69.72 Ga.upf
Rh 102.91 Rh.upf
ATOMIC_POSITIONS crystal
Nd 0.0000 0.0000 0.0000
Nd 0.1499 0.6499 0.2981
Nd 0.8501 0.3501 0.7019
Ga 0.3022 0.8029 0.6056
Ga 0.4488 0.4497 0.8982
Ga 0.5512 0.5503 0.1018
Ga 0.6978 0.1971 0.3944
Rh 0.2526 0.2527 0.5050
Rh 0.4020 0.9033 0.8049
Rh 0.5980 0.0967 0.1951
Rh 0.7474 0.7473 0.4950
CELL_PARAMETERS angstrom
4.0651 0.0000 0.0000
-0.0002 4.3894 0.0000
-2.0219 -2.1771 12.5620

=====

# 2
! NdGa8Rh2 | Alexandria via LeMat-Bulk | PBE | relaxed; values from VASP
! ΔH_f (0 K) ... -0.261 eV/atom
&SYSTEM
  ibrav = 0, nat = 11, ntyp = 3
/
ATOMIC_SPECIES
Nd 144.24 Nd.upf
Ga 69.72 Ga.upf
Rh 102.91 Rh.upf
ATOMIC_POSITIONS crystal
Nd 0.0000 0.0000 0.0000
Ga 0.2948 0.2948 0.2506
Ga 0.2948 0.2948 0.7494
Ga 0.2948 0.7052 0.2506
Ga 0.2948 0.7052 0.7494
Ga 0.7052 0.2948 0.2506
Ga 0.7052 0.2948 0.7494
Ga 0.7052 0.7052 0.2506
Ga 0.7052 0.7052 0.7494
Rh 0.0000 0.5000 0.5000
Rh 0.5000 0.0000 0.5000
CELL_PARAMETERS angstrom
6.3762 0.0000 0.0000
0.0000 6.3762 0.0000
0.0000 0.0000 5.2979

=====

# 3
! NdGa9Rh2 | Alexandria via LeMat-Bulk | PBE | relaxed; values from VASP
! E above lowest polymorph ... 0.0031 eV/atom
! ΔH_f (0 K) ... -0.395 eV/atom
&SYSTEM
  ibrav = 0, nat = 12, ntyp = 3
/
ATOMIC_SPECIES
Nd 144.24 Nd.upf
Ga 69.72 Ga.upf
Rh 102.91 Rh.upf
ATOMIC_POSITIONS crystal
Nd 0.0000 0.0000 0.0000
Ga 0.0000 0.5000 0.0000
Ga 0.1933 0.3866 0.5000
Ga 0.1933 0.8067 0.5000
Ga 0.3866 0.1933 0.5000
Ga 0.5000 0.0000 0.0000
Ga 0.5000 0.5000 0.0000
Ga 0.6134 0.8067 0.5000
Ga 0.8067 0.1933 0.5000
Ga 0.8067 0.6134 0.5000
Rh 0.3333 0.6667 0.0000
Rh 0.6667 0.3333 0.0000
CELL_PARAMETERS angstrom
8.4233 0.0000 0.0000
-4.2117 7.2948 0.0000
0.0000 0.0000 3.5233

=====

# 4
! Nd2Ga9Rh3 | Alexandria via LeMat-Bulk | PBE | relaxed; values from VASP
! ΔH_f (0 K) ... -0.717 eV/atom
&SYSTEM
  ibrav = 0, nat = 28, ntyp = 3
/
ATOMIC_SPECIES
Nd 144.24 Nd.upf
Ga 69.72 Ga.upf
Rh 102.91 Rh.upf
ATOMIC_POSITIONS crystal
Nd 0.0856 0.2517 0.2505
Nd 0.2517 0.0856 0.7505
Nd 0.7483 0.9144 0.2495
Nd 0.9144 0.7483 0.7495
Ga 0.0266 0.8573 0.0768
Ga 0.1427 0.9734 0.4232
Ga 0.1947 0.3598 0.5764
Ga 0.2125 0.5813 0.2516
Ga 0.3131 0.4812 0.9397
Ga 0.3598 0.1947 0.0764
Ga 0.3724 0.6276 0.7500
Ga 0.4187 0.7875 0.2484
Ga 0.4812 0.3131 0.4397
Ga 0.5188 0.6869 0.5603
Ga 0.5813 0.2125 0.7516
Ga 0.6276 0.3724 0.2500
Ga 0.6402 0.8053 0.9236
Ga 0.6869 0.5188 0.0603
Ga 0.7875 0.4187 0.7484
Ga 0.8053 0.6402 0.4236
Ga 0.8573 0.0266 0.5768
Ga 0.9734 0.1427 0.9232
Rh 0.0000 0.5000 0.0000
Rh 0.1592 0.6709 0.4993
Rh 0.3291 0.8408 0.0007
Rh 0.5000 0.0000 0.5000
Rh 0.6709 0.1592 0.9993
Rh 0.8408 0.3291 0.5007
CELL_PARAMETERS angstrom
6.6368 -3.8131 0.0000
6.6368 3.8131 0.0000
-4.4574 0.0000 9.6470

=====

- The lowest ΔH_f (0 K) belongs to which entry?
  Nd3Ga4Rh4